VASP calculation (GGA-PBE) on crystalline AcGdMgSn at its relaxed geometry.

The structure belongs to space group F-43m (No. 216); the cell edges are 7.886, 7.886 and 7.886 Å and the angles 90.00°, 90.00° and 90.00°. Symmetry generates all atoms from Ac at (0.000, 0.000, 0.000), Gd at (0.000, 0.000, 0.500), Mg at (0.250, 0.250, 0.250) and Sn at (0.250, 0.250, 0.750).

The formation energy is -0.362 eV/atom. The theoretical density comes out at 7.140 Mg/m³.